Entry 1:
# Sm3Si5Ni6

Crystalline Sm3Si5Ni6 at its relaxed geometry (PBE, Alexandria).

a = 3.9319 Å, b = 11.7668 Å, c = 9.6432 Å
α = 90.00°, β = 90.00°, γ = 90.00°
With the nearest neighbours (Å) after each atom.
Space group Pmmn (No. 59, origin choice 2)
Unique sites:
Sm 0.2500 0.0913 0.2493  6 Si 2.98-3.06, 8 Ni 3.01-3.33
Sm 0.2500 0.7500 0.2468  6 Si 2.91-3.01, 6 Ni 2.97-3.11
Si 0.2500 0.0773 0.8597  5 Ni 2.33-2.60
Si 0.2500 0.6348 0.5140  5 Ni 2.32-2.42
Si 0.2500 0.7500 0.8955  4 Ni 2.29
Ni 0.2500 0.0517 0.5917  3 Si 2.32-2.42, 1 Ni 2.48
Ni 0.2500 0.2500 0.5035  4 Si 2.39, 2 Ni 2.48
Ni 0.2500 0.2500 0.9836  4 Si 2.29-2.36
Ni 0.2500 0.5787 0.0092  4 Si 2.29-2.34

Results
Calculated total energy in eV/atom: -6.152
Total magnetic moment in Bohr magnetons per cell: 0.000
N(E_F) in states/eV/atom: 0.70
ΔE_f (raw) in kJ/mol of atoms: -70.10

Entry 2:
# LiPuAgCl6

Crystalline LiPuAgCl6 at its relaxed geometry (PBE, Alexandria).

a = 6.6060 Å, b = 6.6060 Å, c = 12.2048 Å
α = 90.00°, β = 90.00°, γ = 120.00°
With the nearest neighbours (Å) after each atom.
Space group P-31c (No. 163)
Unique sites:
Li 0.3333 0.6667 0.2500  6 Cl 2.61
Pu 0.3333 0.6667 0.7500  6 Cl 2.61
Ag 0.0000 0.0000 0.0000  6 Cl 2.79
Cl 0.9997 0.3463 0.6301  1 Li 2.61, 1 Pu 2.61, 1 Ag 2.79

Results
Calculated total energy in eV/atom: -4.780
Total magnetic moment in Bohr magnetons per cell: 8.000
N(E_F) in states/eV/atom: 0.51
ΔE_f (raw) in kJ/mol of atoms: -137.72

Entry 3:
# Hf3ZnPt2

Crystalline Hf3ZnPt2 at its relaxed geometry (PBE, Alexandria).

a = 3.0048 Å, b = 5.0469 Å, c = 15.5255 Å
α = 90.00°, β = 90.00°, γ = 90.00°
With the nearest neighbours (Å) after each atom.
Space group Immm (No. 71)
Unique sites:
Hf 0.0000 0.0000 0.0000  2 Zn 2.52, 4 Pt 2.75
Hf 0.0000 0.5000 0.1798  5 Pt 2.66-2.98, 1 Zn 2.79
Zn 0.0000 0.5000 0.0000  4 Hf 2.52-2.79
Pt 0.0000 0.5000 0.3514  7 Hf 2.66-2.98

Results
Calculated total energy in eV/atom: -7.607
Total magnetic moment in Bohr magnetons per cell: 0.000
Formation energy in meV/atom: -404
N(E_F) in states/eV/atom: 0.78

Entry 4:
# PaZn11Au

Crystalline PaZn11Au at its relaxed geometry (PBE, Alexandria).

a = 5.2711 Å, b = 12.6613 Å, c = 6.8337 Å
α = 90.00°, β = 112.33°, γ = 90.00°
With the nearest neighbours (Å) after each atom.
Space group C2/m (No. 12)
Unique sites:
Pa 0.0000 0.0000 0.0000  18 Zn 3.17-3.43, 2 Au 3.42
Zn 0.0000 0.5000 0.5000  8 Zn 2.61-2.78, 2 Au 2.64
Zn 0.0974 0.3914 0.2118  7 Zn 2.58-2.86, 1 Au 2.66
Zn 0.1781 0.1786 0.3517  7 Zn 2.60-2.90, 1 Au 2.78
Zn 0.2500 0.2500 0.0000  10 Zn 2.58-2.75
Au 0.0000 0.0000 0.5000  10 Zn 2.64-2.78

Results
Calculated total energy in eV/atom: -2.167
Total magnetic moment in Bohr magnetons per cell: 1.501
Formation energy in meV/atom: -106
N(E_F) in states/eV/atom: 0.53

Entry 5:
# Cr3HgAu

Crystalline Cr3HgAu at its relaxed geometry (PBE, Alexandria).

a = 5.0355 Å, b = 5.0355 Å, c = 5.0355 Å
α = 90.00°, β = 90.00°, γ = 90.00°
With the nearest neighbours (Å) after each atom.
Space group Pm-3m (No. 221)
Unique sites:
Cr 0.0000 0.0000 0.5000  2 Au 2.52
Hg 0.5000 0.5000 0.5000  12 Cr 3.56
Au 0.0000 0.0000 0.0000  6 Cr 2.52

Results
Calculated total energy in eV/atom: -5.306
Total magnetic moment in Bohr magnetons per cell: 13.079
Formation energy in meV/atom: 1184
N(E_F) in states/eV/atom: 0.94

Entry 6:
# Zr2Zn

Crystalline Zr2Zn at its relaxed geometry (PBE, Alexandria).

a = 10.8589 Å, b = 3.1973 Å, c = 7.5991 Å
α = 90.00°, β = 111.51°, γ = 90.00°
With the nearest neighbours (Å) after each atom.
Space group C2/m (No. 12)
Unique sites:
Zr 0.0154 0.0000 0.2227  4 Zn 2.94-3.00, 8 Zr 3.14-3.28
Zr 0.1609 0.5000 0.5982  2 Zn 2.95, 10 Zr 3.14-3.27
Zn 0.1855 0.5000 0.0669  2 Zn 2.57

Results
Calculated total energy in eV/atom: -6.246
Total magnetic moment in Bohr magnetons per cell: 0.000
Formation energy in meV/atom: -122
N(E_F) in states/eV/atom: 0.93